SmBeAg (PBE-GGA, optimized geometry); E_tot = -3.8331 eV/atom; crystal system = monoclinic; V = 121 Å³ per cell; E_form = -0.2 eV per formula unit
1.0
3.968 0.000 0.000
0.000 5.372 -0.289
-1.984 -1.487 5.741
Sm Be Ag
2 2 2
Direct
0.116 0.311 0.232
0.884 0.689 0.768
0.770 0.114 0.539
0.230 0.886 0.461
0.402 0.244 0.804
0.598 0.756 0.196

KGa8Sn2 (PBE-GGA, optimized geometry); E_tot = -2.9453 eV/atom; crystal system = tetragonal; V = 309 Å³ per cell; E_form = 0.9 eV per formula unit
1.0
5.371 0.000 0.000
0.000 5.371 0.000
0.000 0.000 10.702
Ga K Sn
8 1 2
Direct
0.249 0.751 0.221
0.751 0.751 0.779
0.249 0.751 0.779
0.751 0.751 0.221
0.249 0.249 0.221
0.751 0.249 0.779
0.249 0.249 0.779
0.751 0.249 0.221
0.500 0.500 0.500
0.500 0.000 0.000
0.000 0.500 0.000

Ba2PaInS6 (PBE-GGA, optimized geometry); E_tot = -5.6698 eV/atom; formation energy without anion corrections = -1585 meV/atom; crystal system = monoclinic; V = 544 Å³ per cell
1.0
7.174 0.000 -0.045
0.000 7.386 0.000
0.000 0.000 10.263
In S Ba Pa
2 12 4 2
Direct
0.000 0.500 0.000
0.500 0.000 0.500
0.296 0.707 0.040
0.706 0.295 0.540
0.423 0.988 0.750
0.077 0.488 0.750
0.923 0.512 0.250
0.577 0.012 0.250
0.704 0.293 0.960
0.796 0.793 0.540
0.204 0.207 0.460
0.294 0.705 0.460
0.206 0.205 0.040
0.794 0.795 0.960
0.516 0.560 0.748
0.984 0.060 0.752
0.484 0.440 0.252
0.016 0.940 0.248
0.500 0.000 0.000
0.000 0.500 0.500

SrZrCo2 (PBE-GGA, optimized geometry); E_tot = -6.0467 eV/atom; crystal system = trigonal; V = 93 Å³ per cell; E_form = 0.3 eV per formula unit
1.0
-0.206 2.446 -3.051
-0.820 -1.387 -3.569
-7.166 1.285 -1.002
Co Zr Sr
2 1 1
Direct
0.968 0.968 0.095
0.303 0.303 0.092
0.702 0.702 0.893
0.527 0.527 0.420

Sn4BiPb5 (PBE-GGA, optimized geometry); E_tot = -3.7356 eV/atom; crystal system = orthorhombic; V = 652 Å³ per cell; E_form = 1.1 eV per formula unit
1.0
6.471 0.000 0.000
0.000 9.501 0.000
0.000 0.000 10.609
Pb Sn Bi
10 8 2
Direct
0.628 0.500 0.000
0.750 0.309 0.271
0.750 0.691 0.271
0.250 0.191 0.229
0.250 0.809 0.771
0.250 0.809 0.229
0.750 0.691 0.729
0.372 0.000 0.500
0.750 0.309 0.729
0.250 0.191 0.771
0.874 0.000 0.361
0.126 0.500 0.139
0.584 0.841 0.000
0.416 0.341 0.500
0.874 0.000 0.639
0.416 0.659 0.500
0.126 0.500 0.861
0.584 0.159 0.000
0.011 0.000 0.000
0.989 0.500 0.500

Ce3Mg3Ga8 (PBE-GGA, optimized geometry); E_tot = -3.7692 eV/atom; crystal system = orthorhombic; V = 291 Å³ per cell; E_form = -6.0 eV per formula unit
1.0
-3.698 -0.193 2.279
-6.128 -1.602 -5.932
-2.166 -8.403 -0.081
Ga Ce Mg
8 3 3
Direct
0.161 0.471 0.206
0.161 0.206 0.471
0.356 0.363 0.925
0.644 0.637 0.075
0.839 0.794 0.529
0.644 0.075 0.637
0.839 0.529 0.794
0.356 0.925 0.363
0.203 0.797 0.797
0.797 0.203 0.203
0.500 0.500 0.500
0.000 0.792 0.208
0.000 0.208 0.792
0.500 0.000 0.000

YErSc2 (PBE-GGA, optimized geometry); E_tot = -5.8651 eV/atom; crystal system = tetragonal; V = 111 Å³ per cell; E_form = 0.2 eV per formula unit
1.0
4.698 0.000 0.000
0.000 4.868 0.000
0.000 0.000 4.868
Er Sc Y
1 2 1
Direct
0.500 0.500 0.500
0.000 0.500 0.000
0.000 0.000 0.500
0.500 0.000 0.000

KCo2Tc (PBE-GGA, optimized geometry); E_tot = -5.0050 eV/atom; crystal system = cubic; V = 63 Å³ per cell; E_form = 5.7 eV per formula unit
1.0
4.192 -1.188 0.929
1.073 -1.355 4.106
0.989 -4.279 0.746
Co Tc K
2 1 1
Direct
0.750 0.750 0.750
0.250 0.250 0.250
0.500 0.500 0.500
0.000 0.000 0.000

YTm2Pu3Se6 (PBE-GGA, optimized geometry); E_tot = -8.2525 eV/atom; formation energy without anion corrections = -1643 meV/atom; crystal system = monoclinic; V = 290 Å³ per cell
1.0
-1.092 3.919 0.296
-7.508 -1.890 -2.676
-0.178 -2.830 8.703
Se Tm Pu Y
6 2 3 1
Direct
0.003 0.249 0.006
0.670 0.579 0.339
0.330 0.421 0.661
0.667 0.091 0.333
0.333 0.909 0.667
0.997 0.751 0.994
0.834 0.664 0.667
0.166 0.336 0.333
0.166 0.835 0.331
0.500 0.500 0.000
0.834 0.165 0.669
0.500 0.000 0.000

BaMg4As (PBE-GGA, optimized geometry); E_tot = -2.1285 eV/atom; crystal system = cubic; V = 166 Å³ per cell; E_form = 0.2 eV per formula unit
1.0
5.183 -0.791 3.248
0.324 1.999 5.825
0.139 -4.052 4.648
Mg Ba As
4 1 1
Direct
0.377 0.377 0.377
0.870 0.377 0.377
0.377 0.377 0.870
0.377 0.870 0.377
0.000 0.000 0.000
0.750 0.750 0.750

Ac5PrNd2Ho (PBE-GGA, optimized geometry); E_tot = -4.0998 eV/atom; crystal system = tetragonal; V = 747 Å³ per cell; E_form = 2.5 eV per formula unit
1.0
8.438 0.000 0.000
0.000 8.438 0.000
-4.219 -4.219 10.486
Pr Nd Ac Ho
2 4 10 2
Direct
0.750 0.750 0.500
0.250 0.250 0.500
0.378 0.878 0.000
0.122 0.378 0.000
0.622 0.122 0.000
0.878 0.622 0.000
0.857 0.914 0.271
0.914 0.414 0.271
0.357 0.857 0.271
0.643 0.143 0.729
0.086 0.586 0.729
0.000 0.000 0.000
0.586 0.643 0.729
0.414 0.357 0.271
0.143 0.086 0.729
0.500 0.500 0.000
0.750 0.250 0.500
0.250 0.750 0.500

Ce5Te4C (PBE-GGA, optimized geometry); E_tot = -6.2012 eV/atom; formation energy without anion corrections = -1055 meV/atom; crystal system = tetragonal; V = 294 Å³ per cell
1.0
-4.380 3.199 -3.134
-4.190 -4.171 -4.662
-6.657 0.436 3.489
Ce C Te
5 1 4
Direct
0.444 0.000 0.000
0.094 0.655 0.161
0.910 0.345 0.839
0.255 0.839 0.655
0.749 0.161 0.345
0.052 0.000 0.000
0.585 0.608 0.226
0.418 0.392 0.774
0.811 0.774 0.608
0.192 0.226 0.392

CrCuSi2 (PBE-GGA, optimized geometry); E_tot = -5.7635 eV/atom; formation energy without anion corrections = 378 meV/atom; crystal system = cubic; V = 54 Å³ per cell
1.0
-1.481 3.949 -0.564
-3.741 1.130 1.683
-0.127 2.713 3.275
Si Cu Cr
2 1 1
Direct
0.750 0.750 0.750
0.000 0.000 0.000
0.250 0.250 0.250
0.500 0.500 0.500

ZrV2ZnH (PBE-GGA, optimized geometry); E_tot = -6.3112 eV/atom; crystal system = tetragonal; V = 66 Å³ per cell
1.0
3.909 0.000 0.000
0.000 3.909 0.000
0.000 0.000 4.318
V Zn Zr H
2 1 1 1
Direct
0.000 0.500 0.000
0.500 0.000 0.000
0.500 0.500 0.500
0.000 0.000 0.500
0.000 0.000 0.000

TlBiP2S8 (PBE-GGA, optimized geometry); E_tot = -4.2797 eV/atom; formation energy without anion corrections = -106 meV/atom; crystal system = trigonal; V = 308 Å³ per cell
1.0
-3.066 -3.295 -4.188
1.768 -5.746 -1.286
-6.134 -6.277 4.917
S Bi P Tl
8 1 2 1
Direct
0.066 0.428 0.825
0.817 0.817 0.548
0.934 0.572 0.175
0.572 0.319 0.175
0.183 0.183 0.452
0.681 0.066 0.825
0.319 0.934 0.175
0.428 0.681 0.825
0.000 0.000 0.000
0.254 0.254 0.238
0.746 0.746 0.762
0.500 0.500 0.500

BaLa2Tl (PBE-GGA, optimized geometry); E_tot = -3.5557 eV/atom; crystal system = trigonal; V = 161 Å³ per cell; E_form = -0.1 eV per formula unit
1.0
-7.792 8.744 -2.819
-8.239 6.418 -6.003
-10.287 5.661 -2.690
Tl La Ba
1 2 1
Direct
0.250 0.250 0.250
0.987 0.987 0.987
0.513 0.513 0.513
0.750 0.750 0.750